# NaPuIn2Cl6

A relaxed structure of NaPuIn2Cl6 (PBE-GGA, Alexandria). Values from VASP.

Quantum ESPRESSO input file:
```
&SYSTEM
  ibrav = 0, nat = 10, ntyp = 4
/
ATOMIC_SPECIES
Na 22.99 Na.upf
Pu 244.00 Pu.upf
In 114.82 In.upf
Cl 35.45 Cl.upf
CELL_PARAMETERS angstrom
7.6041 0.0000 0.0000
-3.7814 6.6493 0.0000
-3.7968 -2.1791 6.2933
ATOMIC_POSITIONS angstrom
Na 0.0000 0.0000 0.0000
Pu -3.7870 2.2325 3.2259
In 0.0186 0.0041 4.0970
In 0.0329 4.4569 1.0193
Cl -3.1691 4.4918 1.8389
Cl -5.1846 3.8501 4.9401
Cl -1.6913 2.7104 4.9187
Cl 1.5813 1.6152 1.8126
Cl 5.4054 0.5458 1.8056
Cl 3.1520 0.1911 4.9179
```

Values from the calculation:
ΔE_f (raw) ... -1454 meV/atom
Calculated volume ... 318.2 Å³/cell
SG ... P1 (1)